Compound: Ta2OsCl
Source: Alexandria
Functional: PBE-GGA
Structure: relaxed

Cell and atoms, written as extended XYZ:
```
4
Lattice="2.909 0.004 0.000 -1.131 2.680 0.000 0.000 0.000 9.641" Properties=species:S:1:pos:R:3 pbc="T T T"
Cl 0.000 0.000 4.358
Os 0.889 1.342 7.671
Ta 0.000 0.000 0.021
Ta 0.889 1.342 2.412
```

- V: 18.80 Å³ per atom
- Formation energy without anion corrections: 0.133 eV/atom
- Offset from the most stable computed form: 0.90 eV per formula unit